# 1
Below is NaBi3Ir after structural relaxation, with properties calculated at the GGA-PBE level.

a b c (Å): 5.272 5.272 5.272
angles (deg): 90.00 90.00 90.00
Element x y z (fractional)
Na1 0.000 0.000 0.000
Bi1 0.000 0.000 0.500
Bi2 0.000 0.500 0.000
Bi3 0.500 0.000 0.000
Ir1 0.500 0.500 0.500

Properties
Energy relative to the lowest polymorph listed for this composition ... 1368 meV per atom
Magnetic moment ... 0.00 μB/f.u.

# 2
Below is RbInHg after structural relaxation, with properties calculated at the GGA-PBE level.

a b c (Å): 5.279 5.279 4.691
angles (deg): 90.00 90.00 120.00
Element x y z (fractional)
Rb1 0.000 0.000 0.000
In1 0.333 0.667 0.500
Hg1 0.667 0.333 0.500

Properties
Energy relative to the lowest polymorph listed for this composition ... 16 meV per atom
Magnetic moment ... 0.00 μB/f.u.

# 3
Below is SrMgSnHg after structural relaxation, with properties calculated at the GGA-PBE level.

a b c (Å): 5.391 5.391 5.391
angles (deg): 60.00 60.00 60.00
Element x y z (fractional)
Sr1 0.000 0.000 0.000
Mg1 0.500 0.500 0.500
Sn1 0.750 0.750 0.750
Hg1 0.250 0.250 0.250

Properties
Final energy ... -9.3 eV for the cell shown
Magnetic moment ... 0.00 μB/f.u.

# 4
Below is Ho2AlCl after structural relaxation, with properties calculated at the GGA-PBE level.

a b c (Å): 10.685 10.685 10.685
angles (deg): 18.16 18.16 18.16
Element x y z (fractional)
Ho1 0.096 0.096 0.096
Ho2 0.904 0.904 0.904
Al1 0.000 0.000 0.000
Cl1 0.500 0.500 0.500

Properties
Energy relative to the lowest polymorph listed for this composition ... 438 meV per atom
Magnetic moment ... 0.00 μB/f.u.
Formation energy (no corrections) ... -0.32 eV per atom

# 5
Below is GaAuCl3 after structural relaxation, with properties calculated at the GGA-PBE level.

a b c (Å): 5.094 5.094 5.094
angles (deg): 90.00 90.00 90.00
Element x y z (fractional)
Ga1 0.000 0.000 0.000
Au1 0.500 0.500 0.500
Cl1 0.000 0.500 0.500
Cl2 0.500 0.000 0.500
Cl3 0.500 0.500 0.000

Properties
Energy relative to the lowest polymorph listed for this composition ... 0 meV per atom
Magnetic moment ... 0.00 μB/f.u.
Formation energy (no corrections) ... -0.35 eV per atom

# 6
Below is Zr3Hg2I9 after structural relaxation, with properties calculated at the GGA-PBE level.

a b c (Å): 11.958 11.958 11.249
angles (deg): 102.76 102.76 119.01
Element x y z (fractional)
Zr1 0.060 0.249 0.662
Zr2 0.125 0.125 0.351
Zr3 0.249 0.060 0.662
Zr4 0.751 0.940 0.338
Zr5 0.875 0.875 0.649
Zr6 0.940 0.751 0.338
Hg1 0.228 0.561 0.220
Hg2 0.439 0.772 0.780
Hg3 0.561 0.228 0.220
Hg4 0.772 0.439 0.780
I1 0.074 0.874 0.174
I2 0.121 0.501 0.825
I3 0.126 0.926 0.826
I4 0.196 0.394 0.510
I5 0.198 0.802 0.500
I6 0.257 0.257 0.197
I7 0.324 0.324 0.838
I8 0.394 0.196 0.510
I9 0.499 0.879 0.175
I10 0.501 0.121 0.825
I11 0.606 0.804 0.490
I12 0.676 0.676 0.162
I13 0.743 0.743 0.803
I14 0.802 0.198 0.500
I15 0.804 0.606 0.490
I16 0.874 0.074 0.174
I17 0.879 0.499 0.175
I18 0.926 0.126 0.826

Properties
Magnetic moment ... 2.05 μB/f.u.
Formation energy (no corrections) ... -0.63 eV per atom